Material: TbNiSe2
Method: DFT, GGA-PBE
State: relaxed

Unit cell a=3.631 b=3.631 c=8.433 alpha=77.57 beta=77.57 gamma=60.00
Element x y z (fractional)
Tb: 0.000 0.000 0.000
Ni: 0.500 0.500 0.500
Se: 0.885 0.885 0.345
Se: 0.115 0.115 0.655

Values from the calculation:
E_tot	-18.86	eV/cell
symmetry	R-3m (166)
E_form (uncorrected)	-0.3687	eV per atom